Record 1
A plane-wave DFT calculation with GGA-PBE was carried out for an optimized crystal structure of LiTbPbAu.

Unit cell a=7.1349 b=7.1349 c=7.1349 alpha=90.00 beta=90.00 gamma=90.00
Space group F-43m (No. 216)
Asymmetric unit:
Li1 0.0000 0.0000 0.0000 [4 per cell]
Tb1 0.0000 0.0000 0.5000 [4 per cell]
Pb1 0.2500 0.2500 0.7500 [4 per cell]
Au1 0.2500 0.2500 0.2500 [4 per cell]

Calculated values
The raw total energy is -3.92 eV per atom. The value obtained for the formation energy is -0.54 eV per atom.


Record 2
A plane-wave DFT calculation with GGA-PBE was carried out for an optimized crystal structure of Cs2Ag3Cl5.

Unit cell a=9.4643 b=17.9237 c=7.4590 alpha=90.00 beta=90.00 gamma=90.00
Space group Ibam (No. 72)
Asymmetric unit:
Cs1 0.1980 0.1660 0.0000 [8 per cell]
Ag1 0.0000 0.0000 0.2500 [4 per cell]
Ag2 0.0828 0.3989 0.0000 [8 per cell]
Cl1 0.0000 0.2962 0.2500 [8 per cell]
Cl2 0.0000 0.5000 0.2500 [4 per cell]
Cl3 0.1338 0.0763 0.5000 [8 per cell]

Calculated values
The raw total energy is -2.99 eV per atom. For the formation energy (no corrections), the calculation gives -1.043 eV/atom.


Record 3
A plane-wave DFT calculation with GGA-PBE was carried out for an optimized crystal structure of CsGa2As.

Unit cell a=8.4775 b=8.4775 c=7.4104 alpha=90.00 beta=90.00 gamma=90.00
Space group I-42d (No. 122)
Asymmetric unit:
Cs1 0.0000 0.0000 0.0000 [4 per cell]
Ga1 0.1588 0.2500 0.6250 [8 per cell]
As1 0.0000 0.0000 0.5000 [4 per cell]

Calculated values
The raw total energy is -2.90 eV per atom. The value obtained for the formation energy is -0.01 eV per atom.


Record 4
A plane-wave DFT calculation with GGA-PBE was carried out for an optimized crystal structure of CrHgSe2.

Unit cell a=3.7457 b=3.7457 c=15.6891 alpha=90.00 beta=90.00 gamma=90.00
Space group I-4m2 (No. 119)
Asymmetric unit:
Cr1 0.0000 0.0000 0.0000 [2 per cell]
Hg1 0.0000 0.5000 0.7500 [2 per cell]
Se1 0.0000 0.0000 0.5000 [2 per cell]
Se2 0.0000 0.5000 0.2500 [2 per cell]

Calculated values
The raw total energy is -4.12 eV per atom. For the formation energy (no corrections), the calculation gives 0.099 eV/atom.


Record 5
A plane-wave DFT calculation with GGA-PBE was carried out for an optimized crystal structure of ZrCrGa2.

Unit cell a=6.4426 b=6.4426 c=6.4426 alpha=90.00 beta=90.00 gamma=90.00
Space group Fm-3m (No. 225)
Asymmetric unit:
Zr1 0.0000 0.0000 0.0000 [4 per cell]
Cr1 0.0000 0.0000 0.5000 [4 per cell]
Ga1 0.2500 0.2500 0.2500 [8 per cell]

Calculated values
The raw total energy is -6.16 eV per atom. The value obtained for the formation energy is -0.11 eV per atom.


Record 6
A plane-wave DFT calculation with GGA-PBE was carried out for an optimized crystal structure of Pr2Dy2Ho2Er.

Unit cell a=11.7492 b=3.5200 c=11.8451 alpha=90.00 beta=109.06 gamma=90.00
Space group C2/m (No. 12)
Asymmetric unit:
Pr1 0.1720 0.0000 0.0862 [4 per cell]
Dy1 0.2273 0.5000 0.3654 [4 per cell]
Ho1 0.0492 0.0000 0.7680 [4 per cell]
Er1 0.0000 0.5000 0.5000 [2 per cell]

Calculated values
The raw total energy is -4.55 eV per atom. The value obtained for the formation energy is 0.09 eV per atom.